# HfPCl | Alexandria | PBE | relaxed
data_HfPCl
_chemical_formula_sum 'Hf2 P2 Cl2'
_space_group_name_H-M_alt 'P 1'
_space_group_IT_number 1
_space_group_name_Hall 'P 1'
_cell_length_a 3.684
_cell_length_b 5.148
_cell_length_c 8.367
_cell_angle_alpha 90.00
_cell_angle_beta 90.00
_cell_angle_gamma 90.00
loop_
_atom_site_label
_atom_site_type_symbol
_atom_site_fract_x
_atom_site_fract_y
_atom_site_fract_z
Hf1 Hf 0.250 0.250 0.110
Hf2 Hf 0.750 0.750 0.890
P1 P 0.250 0.750 0.107
P2 P 0.750 0.250 0.893
Cl1 Cl 0.250 0.750 0.673
Cl2 Cl 0.750 0.250 0.327
# SG	Pmmn (59)
# magnetic moment	0.00	Bohr magnetons per cell
# ΔE_f (raw)	-367.4	kJ/mol of formula units
# ΔE to the lowest computed polymorph	47	meV/atom
# D(E_F)	0.0	states/eV/f.u.
# calculated total energy	-21.0	eV per formula unit



# HfPCl | Alexandria | PBE | relaxed
data_HfPCl
_chemical_formula_sum 'Hf4 P4 Cl4'
_space_group_name_H-M_alt 'P 1'
_space_group_IT_number 1
_space_group_name_Hall 'P 1'
_cell_length_a 9.049
_cell_length_b 3.508
_cell_length_c 10.522
_cell_angle_alpha 90.00
_cell_angle_beta 113.76
_cell_angle_gamma 90.00
loop_
_atom_site_label
_atom_site_type_symbol
_atom_site_fract_x
_atom_site_fract_y
_atom_site_fract_z
Hf1 Hf 0.000 0.000 0.000
Hf2 Hf 0.118 0.500 0.722
Hf3 Hf 0.500 0.500 0.000
Hf4 Hf 0.618 0.000 0.722
P1 P 0.199 0.500 0.977
P2 P 0.356 0.000 0.791
P3 P 0.699 0.000 0.977
P4 P 0.856 0.500 0.791
Cl1 Cl 0.025 0.500 0.190
Cl2 Cl 0.465 0.500 0.537
Cl3 Cl 0.525 0.000 0.190
Cl4 Cl 0.965 0.000 0.537
# SG	Cm (8)
# magnetic moment	0.00	Bohr magnetons per cell
# ΔE_f (raw)	-343.2	kJ/mol of formula units
# ΔE to the lowest computed polymorph	131	meV/atom
# D(E_F)	0.2	states/eV/f.u.
# calculated total energy	-20.8	eV per formula unit



# HfPCl2 | Alexandria | PBE | relaxed
data_HfPCl2
_chemical_formula_sum 'Hf3 P3 Cl6'
_space_group_name_H-M_alt 'P 1'
_space_group_IT_number 1
_space_group_name_Hall 'P 1'
_cell_length_a 3.126
_cell_length_b 3.126
_cell_length_c 35.186
_cell_angle_alpha 90.00
_cell_angle_beta 90.00
_cell_angle_gamma 120.00
loop_
_atom_site_label
_atom_site_type_symbol
_atom_site_fract_x
_atom_site_fract_y
_atom_site_fract_z
Hf1 Hf 0.000 0.000 0.000
Hf2 Hf 0.333 0.667 0.667
Hf3 Hf 0.667 0.333 0.333
P1 P 0.000 0.000 0.500
P2 P 0.333 0.667 0.167
P3 P 0.667 0.333 0.833
Cl1 Cl 0.000 0.000 0.386
Cl2 Cl 0.000 0.000 0.614
Cl3 Cl 0.333 0.667 0.053
Cl4 Cl 0.333 0.667 0.281
Cl5 Cl 0.667 0.333 0.719
Cl6 Cl 0.667 0.333 0.947
# SG	R-3m (166)
# magnetic moment	0.00	Bohr magnetons per cell
# ΔE_f (raw)	-184.4	kJ/mol of formula units
# ΔE to the lowest computed polymorph	208	meV/atom
# D(E_F)	1.8	states/eV/f.u.
# calculated total energy	-21.0	eV per formula unit



# HfPCl | Alexandria | PBE | relaxed
data_HfPCl
_chemical_formula_sum 'Hf2 P2 Cl2'
_space_group_name_H-M_alt 'P 1'
_space_group_IT_number 1
_space_group_name_Hall 'P 1'
_cell_length_a 3.681
_cell_length_b 3.681
_cell_length_c 13.447
_cell_angle_alpha 90.00
_cell_angle_beta 90.00
_cell_angle_gamma 120.00
loop_
_atom_site_label
_atom_site_type_symbol
_atom_site_fract_x
_atom_site_fract_y
_atom_site_fract_z
Hf1 Hf 0.333 0.667 0.000
Hf2 Hf 0.667 0.333 0.500
P1 P 0.333 0.667 0.597
P2 P 0.667 0.333 0.097
Cl1 Cl 0.000 0.000 0.372
Cl2 Cl 0.000 0.000 0.872
# SG	P6_3mc (186)
# magnetic moment	0.00	Bohr magnetons per cell
# ΔE_f (raw)	-315.8	kJ/mol of formula units
# ΔE to the lowest computed polymorph	225	meV/atom
# D(E_F)	0.0	states/eV/f.u.
# calculated total energy	-20.5	eV per formula unit



# HfP2PbCl | Alexandria | PBE | relaxed
data_HfP2PbCl
_chemical_formula_sum 'Hf1 P2 Pb1 Cl1'
_space_group_name_H-M_alt 'P 1'
_space_group_IT_number 1
_space_group_name_Hall 'P 1'
_cell_length_a 5.059
_cell_length_b 5.059
_cell_length_c 4.934
_cell_angle_alpha 90.00
_cell_angle_beta 90.00
_cell_angle_gamma 90.00
loop_
_atom_site_label
_atom_site_type_symbol
_atom_site_fract_x
_atom_site_fract_y
_atom_site_fract_z
Hf1 Hf 0.000 0.000 0.000
P1 P 0.000 0.500 0.000
P2 P 0.500 0.000 0.000
Pb1 Pb 0.500 0.500 0.500
Cl1 Cl 0.000 0.000 0.500
# SG	P4/mmm (123)
# magnetic moment	0.00	Bohr magnetons per cell
# ΔE_f (raw)	-169.6	kJ/mol of formula units
# ΔE to the lowest computed polymorph	0	meV/atom
# D(E_F)	2.8	states/eV/f.u.
# calculated total energy	-28.1	eV per formula unit



# HfP2PbCl | Alexandria | PBE | relaxed
data_HfP2PbCl
_chemical_formula_sum 'Hf1 P2 Pb1 Cl1'
_space_group_name_H-M_alt 'P 1'
_space_group_IT_number 1
_space_group_name_Hall 'P 1'
_cell_length_a 5.183
_cell_length_b 5.183
_cell_length_c 5.061
_cell_angle_alpha 90.00
_cell_angle_beta 90.00
_cell_angle_gamma 90.00
loop_
_atom_site_label
_atom_site_type_symbol
_atom_site_fract_x
_atom_site_fract_y
_atom_site_fract_z
Hf1 Hf 0.000 0.000 0.000
P1 P 0.000 0.500 0.500
P2 P 0.500 0.000 0.500
Pb1 Pb 0.500 0.500 0.500
Cl1 Cl 0.500 0.500 0.000
# SG	P4/mmm (123)
# magnetic moment	0.00	Bohr magnetons per cell
# ΔE_f (raw)	461.2	kJ/mol of formula units
# ΔE to the lowest computed polymorph	1308	meV/atom
# D(E_F)	3.0	states/eV/f.u.
# calculated total energy	-21.5	eV per formula unit



# HfPPbCl2 | Alexandria | PBE | relaxed
data_HfPPbCl2
_chemical_formula_sum 'Hf1 P1 Pb1 Cl2'
_space_group_name_H-M_alt 'P 1'
_space_group_IT_number 1
_space_group_name_Hall 'P 1'
_cell_length_a 5.239
_cell_length_b 5.239
_cell_length_c 5.493
_cell_angle_alpha 90.00
_cell_angle_beta 90.00
_cell_angle_gamma 90.00
loop_
_atom_site_label
_atom_site_type_symbol
_atom_site_fract_x
_atom_site_fract_y
_atom_site_fract_z
Hf1 Hf 0.000 0.000 0.000
P1 P 0.500 0.500 0.000
Pb1 Pb 0.500 0.500 0.500
Cl1 Cl 0.000 0.500 0.500
Cl2 Cl 0.500 0.000 0.500
# SG	P4/mmm (123)
# magnetic moment	1.32	Bohr magnetons per cell
# ΔE_f (raw)	280.0	kJ/mol of formula units
# ΔE to the lowest computed polymorph	1217	meV/atom
# D(E_F)	3.8	states/eV/f.u.
# calculated total energy	-19.9	eV per formula unit



# HfPPbCl2 | Alexandria | PBE | relaxed
data_HfPPbCl2
_chemical_formula_sum 'Hf1 P1 Pb1 Cl2'
_space_group_name_H-M_alt 'P 1'
_space_group_IT_number 1
_space_group_name_Hall 'P 1'
_cell_length_a 4.926
_cell_length_b 4.926
_cell_length_c 5.191
_cell_angle_alpha 90.00
_cell_angle_beta 90.00
_cell_angle_gamma 90.00
loop_
_atom_site_label
_atom_site_type_symbol
_atom_site_fract_x
_atom_site_fract_y
_atom_site_fract_z
Hf1 Hf 0.000 0.000 0.000
P1 P 0.000 0.000 0.500
Pb1 Pb 0.500 0.500 0.500
Cl1 Cl 0.000 0.500 0.000
Cl2 Cl 0.500 0.000 0.000
# SG	P4/mmm (123)
# magnetic moment	0.00	Bohr magnetons per cell
# ΔE_f (raw)	-307.2	kJ/mol of formula units
# ΔE to the lowest computed polymorph	0	meV/atom
# D(E_F)	2.5	states/eV/f.u.
# calculated total energy	-25.9	eV per formula unit



# HfP2PdCl | Alexandria | PBE | relaxed
data_HfP2PdCl
_chemical_formula_sum 'Hf1 P2 Pd1 Cl1'
_space_group_name_H-M_alt 'P 1'
_space_group_IT_number 1
_space_group_name_Hall 'P 1'
_cell_length_a 4.673
_cell_length_b 4.673
_cell_length_c 4.617
_cell_angle_alpha 90.00
_cell_angle_beta 90.00
_cell_angle_gamma 90.00
loop_
_atom_site_label
_atom_site_type_symbol
_atom_site_fract_x
_atom_site_fract_y
_atom_site_fract_z
Hf1 Hf 0.000 0.000 0.000
P1 P 0.000 0.500 0.500
P2 P 0.500 0.000 0.500
Pd1 Pd 0.500 0.500 0.500
Cl1 Cl 0.500 0.500 0.000
# SG	P4/mmm (123)
# magnetic moment	0.00	Bohr magnetons per cell
# ΔE_f (raw)	191.2	kJ/mol of formula units
# ΔE to the lowest computed polymorph	198	meV/atom
# D(E_F)	3.0	states/eV/f.u.
# calculated total energy	-25.8	eV per formula unit



# HfP2PdCl | Alexandria | PBE | relaxed
data_HfP2PdCl
_chemical_formula_sum 'Hf1 P2 Pd1 Cl1'
_space_group_name_H-M_alt 'P 1'
_space_group_IT_number 1
_space_group_name_Hall 'P 1'
_cell_length_a 5.009
_cell_length_b 5.009
_cell_length_c 4.839
_cell_angle_alpha 90.00
_cell_angle_beta 90.00
_cell_angle_gamma 90.00
loop_
_atom_site_label
_atom_site_type_symbol
_atom_site_fract_x
_atom_site_fract_y
_atom_site_fract_z
Hf1 Hf 0.000 0.000 0.000
P1 P 0.000 0.500 0.000
P2 P 0.500 0.000 0.000
Pd1 Pd 0.500 0.500 0.500
Cl1 Cl 0.000 0.000 0.500
# SG	P4/mmm (123)
# magnetic moment	0.00	Bohr magnetons per cell
# ΔE_f (raw)	95.7	kJ/mol of formula units
# ΔE to the lowest computed polymorph	0	meV/atom
# D(E_F)	5.2	states/eV/f.u.
# calculated total energy	-26.8	eV per formula unit